1.
GGA-PBE Cu2SiSnP4, optimized geometry; energy = -4.873 eV/atom; theoretical density = 4.21 g cm⁻³; symmetry = No. 82
1.0
0.070 -6.157 2.356
-0.489 0.193 6.571
-3.598 2.832 -4.743
Cu P Si Sn
2 4 1 1
direct
0.000 0.000 0.000
0.750 0.250 0.500
0.093 0.638 0.002
0.362 0.364 0.455
0.910 0.907 0.545
0.636 0.090 0.998
0.250 0.750 0.500
0.500 0.500 0.000



2.
GGA-PBE Sm3Cu4P4, optimized geometry; energy = -5.500 eV/atom; theoretical density = 6.90 g cm⁻³; symmetry = No. 164; magnetization = 0.0 μB/f.u.
1.0
3.996 0.000 0.000
-1.998 3.461 0.000
0.000 0.000 14.433
Cu P Sm
4 4 3
direct
0.333 0.667 0.137
0.667 0.333 0.438
0.333 0.667 0.562
0.667 0.333 0.863
0.667 0.333 0.138
0.333 0.667 0.396
0.667 0.333 0.604
0.333 0.667 0.862
0.000 0.000 0.000
0.000 0.000 0.286
0.000 0.000 0.714



3.
GGA-PBE SmCu3P2, optimized geometry; energy = -5.014 eV/atom; theoretical density = 7.26 g cm⁻³; symmetry = No. 164; magnetization = 0.0 μB/f.u.
1.0
-3.014 1.462 -2.195
1.727 -3.465 -1.026
-4.350 -3.288 3.781
Cu P Sm
3 2 1
direct
0.333 0.667 0.341
0.000 0.000 0.500
0.667 0.333 0.659
0.667 0.333 0.264
0.333 0.667 0.736
0.000 0.000 0.000



4.
GGA-PBE TbSmCu2P4, optimized geometry; energy = -5.671 eV/atom; theoretical density = 6.70 g cm⁻³; symmetry = No. 99; magnetization = 0.0 μB/f.u.
1.0
3.755 0.000 0.000
0.000 3.755 0.000
0.000 0.000 9.844
Cu P Sm Tb
2 4 1 1
direct
0.500 0.000 0.503
0.000 0.500 0.503
0.000 0.000 0.351
0.500 0.500 0.655
0.500 0.000 0.996
0.000 0.500 0.996
0.500 0.500 0.231
0.000 0.000 0.767



5.
GGA-PBE SrCu3P2, optimized geometry; energy = -4.421 eV/atom; theoretical density = 5.83 g cm⁻³; symmetry = No. 12
1.0
-7.413 0.814 -2.002
-6.296 -2.620 -3.623
0.872 -2.810 6.552
Cu P Sr
6 4 2
direct
0.313 0.313 0.057
0.956 0.956 0.124
0.592 0.592 0.163
0.408 0.408 0.837
0.044 0.044 0.876
0.687 0.687 0.943
0.189 0.189 0.177
0.480 0.480 0.316
0.520 0.520 0.684
0.811 0.811 0.823
0.850 0.850 0.433
0.150 0.150 0.567



6.
GGA-PBE TlCu4P2, optimized geometry; energy = -4.043 eV/atom; theoretical density = 7.47 g cm⁻³; symmetry = No. 166
1.0
1.983 1.145 8.498
-1.983 1.145 8.498
0.000 -2.290 8.498
Cu P Tl
4 2 1
direct
0.143 0.143 0.143
0.434 0.434 0.434
0.566 0.566 0.566
0.857 0.857 0.857
0.237 0.237 0.237
0.763 0.763 0.763
0.000 0.000 0.000



7.
GGA-PBE UCuP2, optimized geometry; energy = -7.100 eV/atom; theoretical density = 9.17 g cm⁻³; symmetry = No. 139; magnetization = 1.9 μB/f.u.
1.0
1.370 3.057 -1.715
3.344 -0.588 1.623
0.238 -6.455 -7.189
Cu P U
2 4 2
direct
0.750 0.250 0.500
0.250 0.750 0.500
0.500 0.000 0.000
0.000 0.500 0.000
0.668 0.668 0.336
0.332 0.332 0.664
0.109 0.109 0.218
0.891 0.891 0.782



8.
GGA-PBE Cu2P2W, optimized geometry; energy = -6.132 eV/atom; theoretical density = 8.70 g cm⁻³; symmetry = No. 164; magnetization = 0.0 μB/f.u.
1.0
3.668 0.000 0.000
-1.834 3.176 0.000
0.000 0.000 6.110
Cu P W
2 2 1
direct
0.667 0.333 0.377
0.333 0.667 0.623
0.333 0.667 0.230
0.667 0.333 0.770
0.000 0.000 0.000



Q: Look up the theoretical density of the eighth one.
A: 8.70 g cm⁻³